Record 1
CsLiFe2 | Alexandria via LeMat-Bulk | PBEsol | optimized geometry; energy relative to the elements = 1594 meV/atom; N(E_F) = 4.63 states/eV per cell; symmetry = No. 225
1.0
4.542 0.000 0.000
2.271 3.933 0.000
2.271 1.311 3.708
Cs Fe Li
1 2 1
Direct
0.500 0.500 0.500 Cs
0.750 0.750 0.750 Fe
0.250 0.250 0.250 Fe
0.000 0.000 0.000 Li

=====

Record 2
CrCuAs2Br | Alexandria via LeMat-Bulk | PBEsol | optimized geometry; N(E_F) = 2.40 states/eV per cell; symmetry = No. 123; formation energy (no corrections) = 0.61 eV/atom
1.0
4.497 0.000 0.000
0.000 4.497 0.000
0.000 0.000 5.216
Br As Cu Cr
1 2 1 1
Direct
0.000 0.000 0.500 Br
0.000 0.500 0.000 As
0.500 0.000 0.000 As
0.500 0.500 0.500 Cu
0.000 0.000 0.000 Cr

=====

> N(E_F) of number 2 (CrCuAs2Br)?

2.40 states/eV per cell